DFT (GGA-PBE) results for a relaxed In2Pb crystal.

The space group is Fm-3m (No. 225) and the conventional cell measures 7.395, 7.395 and 7.395 Å, with angles of 90.00, 90.00 and 90.00 degrees. Symmetry generates all atoms from In at (0.250, 0.250, 0.250) and Pb at (0.000, 0.000, 0.000).

Its relative energy among the computed polymorphs is 119 meV/atom. The value obtained for the calculated formation energy is 0.4 eV/f.u.

DFT (GGA-PBE) results for a relaxed In2Pb crystal.

The space group is Fd-3m (No. 227, origin choice 2) and the conventional cell measures 8.879, 8.879 and 8.879 Å, with angles of 90.00, 90.00 and 90.00 degrees. Symmetry generates all atoms from In at (0.000, 0.000, 0.000) and Pb at (0.125, 0.125, 0.625).

Its relative energy among the computed polymorphs is 58 meV/atom. The value obtained for the calculated formation energy is 0.2 eV/f.u.

DFT (GGA-PBE) results for a relaxed InPb3 crystal.

The space group is P4/mmm (No. 123) and the conventional cell measures 3.575, 3.575 and 9.536 Å, with angles of 90.00, 90.00 and 90.00 degrees. Symmetry generates all atoms from In at (0.000, 0.000, 0.000), Pb at (0.000, 0.000, 0.500) and Pb at (0.500, 0.500, 0.243).

The value obtained for the calculated formation energy is 0.0 eV/f.u.

DFT (GGA-PBE) results for a relaxed In2Pb crystal.

The space group is I4_1/amd (No. 141, origin choice 2) and the conventional cell measures 3.382, 3.382 and 31.145 Å, with angles of 90.00, 90.00 and 90.00 degrees. Symmetry generates all atoms from In at (0.000, 0.250, 0.294) and Pb at (0.000, 0.250, 0.875).

Its relative energy among the computed polymorphs is 28 meV/atom. The value obtained for the calculated formation energy is 0.1 eV/f.u.